<w>
Below is crystalline CaB2Ru at its relaxed geometry, with properties calculated at the GGA-PBE level.

Unit cell a=3.6352 b=3.6352 c=14.7462 alpha=90.00 beta=90.00 gamma=120.00
Space group R-3m (No. 166, hexagonal axes)
Inequivalent atoms, fractional coordinates:
Ca (0.0000, 0.0000, 0.0000)
B (0.0000, 0.0000, 0.1968)
Ru (0.0000, 0.0000, 0.5000)

Output
The calculation puts the density of states at the Fermi level at 0.3631 states/eV/atom. For the total magnetization, the calculation gives 0.0 μB/cell.

<x>
Below is crystalline CaB2Ru at its relaxed geometry, with properties calculated at the GGA-PBE level.

Unit cell a=4.501 b=4.501 c=13.191 alpha=90.00 beta=90.00 gamma=90.00
Space group I4_1/amd (No. 141, origin choice 2)
Inequivalent atoms, fractional coordinates:
Ca (0.000, 0.250, 0.375)
B (0.000, 0.000, 0.000)
Ru (0.000, 0.250, 0.875)

Output
The calculation puts the density of states at the Fermi level at 0.0761 states/eV/atom. For the total magnetization, the calculation gives 0.0 μB/cell.

Of them, <x> has the lowest stability.

<w>
Below is crystalline CaB3Ru at its relaxed geometry, with properties calculated at the GGA-PBE level.

Unit cell a=4.188 b=4.188 c=4.188 alpha=90.00 beta=90.00 gamma=90.00
Space group Pm-3m (No. 221)
Inequivalent atoms, fractional coordinates:
Ca (0.000, 0.000, 0.000)
B (0.000, 0.000, 0.500)
Ru (0.500, 0.500, 0.500)

Output
The calculation puts the density of states at the Fermi level at 1.3193 states/eV/atom. For the total magnetization, the calculation gives 1.3 μB/cell.

<x>
Below is crystalline CaB3Ru at its relaxed geometry, with properties calculated at the GGA-PBE level.

Unit cell a=4.084 b=4.084 c=4.084 alpha=90.00 beta=90.00 gamma=90.00
Space group Pm-3m (No. 221)
Inequivalent atoms, fractional coordinates:
Ca (0.000, 0.000, 0.000)
B (0.000, 0.500, 0.500)
Ru (0.500, 0.500, 0.500)

Output
The calculation puts the density of states at the Fermi level at 0.4150 states/eV/atom. For the total magnetization, the calculation gives 0.0 μB/cell.

Of them, <w> has the lowest stability.

<w>
Below is crystalline CaB4Ru4 at its relaxed geometry, with properties calculated at the GGA-PBE level.

Unit cell a=5.400 b=5.400 c=7.277 alpha=90.00 beta=90.00 gamma=90.00
Space group P4_2/nmc (No. 137, origin choice 2)
Inequivalent atoms, fractional coordinates:
Ca (0.250, 0.750, 0.250)
B (0.077, 0.250, 0.100)
Ru (0.005, 0.750, 0.608)

Output
The calculation puts the density of states at the Fermi level at 0.8018 states/eV/atom. For the total magnetization, the calculation gives 0.0 μB/cell.

<x>
Below is crystalline CaB4Ru4 at its relaxed geometry, with properties calculated at the GGA-PBE level.

Unit cell a=7.440 b=7.440 c=4.084 alpha=90.00 beta=90.00 gamma=90.00
Space group P4_2/n (No. 86, origin choice 2)
Inequivalent atoms, fractional coordinates:
Ca (0.250, 0.250, 0.250)
B (0.049, 0.920, 0.137)
Ru (0.108, 0.637, 0.136)

Output
The calculation puts the density of states at the Fermi level at 0.8379 states/eV/atom. For the total magnetization, the calculation gives 0.0 μB/cell.

Of them, <w> has the lowest stability.

<w>
Below is crystalline CaBS3 at its relaxed geometry, with properties calculated at the GGA-PBE level.

Unit cell a=5.326 b=5.326 c=5.326 alpha=90.00 beta=90.00 gamma=90.00
Space group Pm-3m (No. 221)
Inequivalent atoms, fractional coordinates:
Ca (0.000, 0.000, 0.000)
B (0.500, 0.500, 0.500)
S (0.000, 0.000, 0.500)

Output
The calculation puts the density of states at the Fermi level at 0.3878 states/eV/atom. For the total magnetization, the calculation gives 3.0 μB/cell.

<x>
Below is crystalline CaBS3 at its relaxed geometry, with properties calculated at the GGA-PBE level.

Unit cell a=4.360 b=4.360 c=4.360 alpha=90.00 beta=90.00 gamma=90.00
Space group Pm-3m (No. 221)
Inequivalent atoms, fractional coordinates:
Ca (0.000, 0.000, 0.000)
B (0.500, 0.500, 0.500)
S (0.000, 0.500, 0.500)

Output
The calculation puts the density of states at the Fermi level at 0.4866 states/eV/atom. For the total magnetization, the calculation gives 0.0 μB/cell.

Of them, <w> has the lowest stability.

<w>
Below is crystalline CaB2S4 at its relaxed geometry, with properties calculated at the GGA-PBE level.

Unit cell a=7.191 b=7.191 c=5.166 alpha=90.00 beta=90.00 gamma=90.00
Space group I4/m (No. 87)
Inequivalent atoms, fractional coordinates:
Ca (0.000, 0.000, 0.000)
B (0.000, 0.500, 0.250)
S (0.133, 0.350, 0.500)

Output
The calculation puts the density of states at the Fermi level at 0.0000 states/eV/atom. For the total magnetization, the calculation gives 0.0 μB/cell.

<x>
Below is crystalline CaB2S4 at its relaxed geometry, with properties calculated at the GGA-PBE level.

Unit cell a=11.253 b=11.253 c=11.253 alpha=90.00 beta=90.00 gamma=90.00
Space group Pa-3 (No. 205)
Inequivalent atoms, fractional coordinates:
Ca (0.000, 0.000, 0.000)
Ca (0.127, 0.627, 0.873)
B (0.128, 0.193, 0.353)
S (0.019, 0.084, 0.277)
S (0.127, 0.150, 0.787)

Output
The calculation puts the density of states at the Fermi level at 0.0000 states/eV/atom. For the total magnetization, the calculation gives 0.0 μB/cell.

Of them, <w> has the lowest stability.

<w>
Below is crystalline Ca2TiBS at its relaxed geometry, with properties calculated at the GGA-PBE level.

Unit cell a=5.814 b=5.814 c=4.454 alpha=90.00 beta=90.00 gamma=90.00
Space group P4/mmm (No. 123)
Inequivalent atoms, fractional coordinates:
Ca (0.000, 0.500, 0.000)
Ti (0.000, 0.000, 0.000)
B (0.500, 0.500, 0.500)
S (0.000, 0.000, 0.500)

Output
The calculation puts the density of states at the Fermi level at 1.3436 states/eV/atom. For the total magnetization, the calculation gives 3.2 μB/cell.

<x>
Below is crystalline Ca2TiBS at its relaxed geometry, with properties calculated at the GGA-PBE level.

Unit cell a=5.410 b=5.410 c=4.014 alpha=90.00 beta=90.00 gamma=90.00
Space group P4/mmm (No. 123)
Inequivalent atoms, fractional coordinates:
Ca (0.000, 0.500, 0.000)
Ti (0.000, 0.000, 0.500)
B (0.500, 0.500, 0.500)
S (0.500, 0.500, 0.000)

Output
The calculation puts the density of states at the Fermi level at 1.6326 states/eV/atom. For the total magnetization, the calculation gives 3.2 μB/cell.

Of them, <w> has the lowest stability.

<w>
Below is crystalline Ca2BSb at its relaxed geometry, with properties calculated at the GGA-PBE level.

Unit cell a=7.271 b=7.271 c=7.271 alpha=90.00 beta=90.00 gamma=90.00
Space group Fm-3m (No. 225)
Inequivalent atoms, fractional coordinates:
Ca (0.250, 0.250, 0.250)
B (0.000, 0.000, 0.000)
Sb (0.000, 0.000, 0.500)

Output
The calculation puts the density of states at the Fermi level at 0.6479 states/eV/atom. For the total magnetization, the calculation gives 0.0 μB/cell.

<x>
Below is crystalline Ca2BSb at its relaxed geometry, with properties calculated at the GGA-PBE level.

Unit cell a=7.931 b=7.931 c=6.534 alpha=90.00 beta=90.00 gamma=90.00
Space group I-42d (No. 122)
Inequivalent atoms, fractional coordinates:
Ca (0.195, 0.250, 0.125)
B (0.000, 0.000, 0.000)
Sb (0.000, 0.000, 0.500)

Output
The calculation puts the density of states at the Fermi level at 0.4921 states/eV/atom. For the total magnetization, the calculation gives 7.8 μB/cell.

Of them, <x> has the lowest stability.

<w>
Below is crystalline CaSc2B2 at its relaxed geometry, with properties calculated at the GGA-PBE level.

Unit cell a=7.397 b=7.397 c=2.885 alpha=90.00 beta=90.00 gamma=90.00
Space group P4/mbm (No. 127)
Inequivalent atoms, fractional coordinates:
Ca (0.000, 0.000, 0.000)
Sc (0.130, 0.370, 0.000)
B (0.173, 0.673, 0.500)

Output
The calculation puts the density of states at the Fermi level at 0.7769 states/eV/atom. For the total magnetization, the calculation gives 0.0 μB/cell.

<x>
Below is crystalline CaSc2B2 at its relaxed geometry, with properties calculated at the GGA-PBE level.

Unit cell a=4.390 b=4.390 c=10.116 alpha=90.00 beta=90.00 gamma=90.00
Space group I4/mmm (No. 139)
Inequivalent atoms, fractional coordinates:
Ca (0.000, 0.000, 0.000)
Sc (0.000, 0.000, 0.331)
B (0.000, 0.500, 0.250)

Output
The calculation puts the density of states at the Fermi level at 0.6180 states/eV/atom. For the total magnetization, the calculation gives 1.7 μB/cell.

Of them, <w> has the lowest stability.

<w>
Below is crystalline CaB3Se at its relaxed geometry, with properties calculated at the GGA-PBE level.

Unit cell a=4.845 b=4.845 c=4.845 alpha=90.00 beta=90.00 gamma=90.00
Space group Pm-3m (No. 221)
Inequivalent atoms, fractional coordinates:
Ca (0.000, 0.000, 0.000)
B (0.000, 0.000, 0.500)
Se (0.500, 0.500, 0.500)

Output
The calculation puts the density of states at the Fermi level at 0.9864 states/eV/atom. For the total magnetization, the calculation gives 0.8 μB/cell.

<x>
Below is crystalline CaB3Se at its relaxed geometry, with properties calculated at the GGA-PBE level.

Unit cell a=4.245 b=4.245 c=4.245 alpha=90.00 beta=90.00 gamma=90.00
Space group Pm-3m (No. 221)
Inequivalent atoms, fractional coordinates:
Ca (0.000, 0.000, 0.000)
B (0.000, 0.500, 0.500)
Se (0.500, 0.500, 0.500)

Output
The calculation puts the density of states at the Fermi level at 0.4588 states/eV/atom. For the total magnetization, the calculation gives 0.0 μB/cell.

Of them, <w> has the lowest stability.

<w>
Below is crystalline CaBSe at its relaxed geometry, with properties calculated at the GGA-PBE level.

Unit cell a=8.556 b=7.780 c=4.048 alpha=90.00 beta=98.21 gamma=90.00
Space group Cm (No. 8)
Inequivalent atoms, fractional coordinates:
Ca (0.000, 0.233, 0.000)
B (0.044, 0.000, 0.534)
B (0.369, 0.500, 0.497)
Se (0.140, 0.500, 0.494)
Se (0.253, 0.000, 0.805)

Output
The calculation puts the density of states at the Fermi level at 0.0000 states/eV/atom. For the total magnetization, the calculation gives 0.0 μB/cell.

<x>
Below is crystalline CaBSe at its relaxed geometry, with properties calculated at the GGA-PBE level.

Unit cell a=8.541 b=7.628 c=3.926 alpha=90.00 beta=104.38 gamma=90.00
Space group C2/m (No. 12)
Inequivalent atoms, fractional coordinates:
Ca (0.000, 0.243, 0.000)
B (0.089, 0.000, 0.526)
Se (0.196, 0.500, 0.562)

Output
For the total magnetization, the calculation gives 0.0 μB/cell.

Of them, <w> has the lowest stability.